This record from the Alexandria database describes an optimized crystal structure of LiTb2Ga3Cu4. The functional is GGA-PBE.

The value obtained for the total magnetic moment is 0.0000 μB per atom. For the formation energy from the elements, the calculation gives -360 meV/atom.

The space group is P-4m2 (No. 115) and the conventional cell measures 4.1300, 4.1300 and 10.2009 Å, with angles of 90.00, 90.00 and 90.00 degrees. Symmetry generates all atoms from Li at (0.0000, 0.0000, 0.0000), Tb at (0.0000, 0.5000, 0.7365), Ga at (0.0000, 0.5000, 0.3693), Ga at (0.5000, 0.5000, 0.0000), Cu at (0.0000, 0.0000, 0.5000), Cu at (0.0000, 0.5000, 0.1353) and Cu at (0.5000, 0.5000, 0.5000).